11
Lattice="9.293 -2.564 0.000 9.293 2.564 0.000 -2.170 0.000 7.900" Properties=species:S:1:pos:R:3 comment="La8Ho2Cd | Alexandria | PBE | relaxed" spacegroup="C2/m (12)" e_form_ev_per_atom=-0.027 e_above_lowest_polymorph_kj_per_mol_fu=0 vol_a3_per_cell=376 dft_energy_ev_per_atom=-4.526 pbc="T T T"
La 0.348 0.000 1.802
La 1.078 0.000 5.376
La 4.724 0.000 4.658
La 7.477 0.000 0.380
La 8.939 0.000 7.520
La 11.691 0.000 3.241
La 15.337 0.000 2.524
La 16.067 0.000 6.097
Ho 3.917 0.000 1.065
Ho 12.499 0.000 6.835
Cd 8.208 0.000 3.950